HoThCoHg | PBE | optimized geometry

POSCAR file:
```
HoThCoHg
1.0
6.7985 0.0000 0.0000
0.0000 3.9301 0.0000
-2.2726 0.0000 7.6907
Ho Th Co Hg
2 2 2 2
direct
0.0000 0.0000 0.0000
0.5000 0.5000 0.0000
0.2062 0.0000 0.6172
0.7062 0.5000 0.6172
0.0995 0.5000 0.7987
0.5995 0.0000 0.7987
0.2650 0.5000 0.2946
0.7650 0.0000 0.2946
```

Properties
- symmetry = Cm
- energy of formation from the pure elements (meV/atom) = -288
- ρ (g/cm³) = 10.61

GdInIr | PBE | optimized geometry

POSCAR file:
```
GdInIr
1.0
7.5378 0.0000 0.0000
-3.7689 6.5280 0.0000
0.0000 0.0000 4.0085
Gd In Ir
3 3 3
direct
0.0000 0.5927 0.0000
0.4073 0.4073 0.0000
0.5927 0.0000 0.0000
0.0000 0.2550 0.5000
0.2550 0.0000 0.5000
0.7450 0.7450 0.5000
0.0000 0.0000 0.0000
0.3333 0.6667 0.5000
0.6667 0.3333 0.5000
```

Properties
- symmetry = P-62m
- energy of formation from the pure elements (meV/atom) = -690
- ρ (g/cm³) = 11.73

LaCeZnAu | PBE | optimized geometry

POSCAR file:
```
LaCeZnAu
1.0
7.4579 0.0000 0.0000
0.0000 7.4579 0.0000
0.0000 0.0000 7.4579
La Ce Zn Au
4 4 4 4
direct
0.0000 0.0000 0.0000
0.0000 0.5000 0.5000
0.5000 0.0000 0.5000
0.5000 0.5000 0.0000
0.0000 0.0000 0.5000
0.0000 0.5000 0.0000
0.5000 0.0000 0.0000
0.5000 0.5000 0.5000
0.2500 0.2500 0.7500
0.2500 0.7500 0.2500
0.7500 0.2500 0.2500
0.7500 0.7500 0.7500
0.2500 0.2500 0.2500
0.2500 0.7500 0.7500
0.7500 0.2500 0.7500
0.7500 0.7500 0.2500
```

Properties
- symmetry = F-43m
- energy of formation from the pure elements (meV/atom) = -428
- ρ (g/cm³) = 8.67